# Y2CdTe (PBE-GGA, optimized geometry)
data_Y2CdTe
_cell_length_a 4.5989
_cell_length_b 5.4582
_cell_length_c 8.6725
_cell_angle_alpha 90.00
_cell_angle_beta 90.00
_cell_angle_gamma 90.00
_space_group_name_H-M_alt 'I m m m'
_space_group_IT_number 71
_space_group_name_Hall '-I 2 2'
loop_
_atom_site_label
_atom_site_type_symbol
_atom_site_fract_x
_atom_site_fract_y
_atom_site_fract_z
Y1 Y 0.0000 0.0000 0.2440
Cd1 Cd 0.0000 0.5000 0.0000
Te1 Te 0.0000 0.5000 0.5000
# Energy above the most stable polymorph in this dataset (meV per atom): 232.3
# Formation energy without anion corrections (eV/atom): -0.594

---

# YCd2Te (PBE-GGA, optimized geometry)
data_YCd2Te
_cell_length_a 4.6090
_cell_length_b 4.6090
_cell_length_c 9.6908
_cell_angle_alpha 90.00
_cell_angle_beta 90.00
_cell_angle_gamma 90.00
_space_group_name_H-M_alt 'I -4 m 2'
_space_group_IT_number 119
_space_group_name_Hall 'I -4 -2'
loop_
_atom_site_label
_atom_site_type_symbol
_atom_site_fract_x
_atom_site_fract_y
_atom_site_fract_z
Y1 Y 0.0000 0.0000 0.0000
Cd1 Cd 0.0000 0.0000 0.5000
Cd2 Cd 0.0000 0.5000 0.2500
Te1 Te 0.0000 0.5000 0.7500
# Formation energy without anion corrections (eV/atom): -0.460

---

# YCd2Te (PBE-GGA, optimized geometry)
data_YCd2Te
_cell_length_a 4.4093
_cell_length_b 4.4093
_cell_length_c 5.3137
_cell_angle_alpha 90.00
_cell_angle_beta 90.00
_cell_angle_gamma 90.00
_space_group_name_H-M_alt 'P 4/m m m'
_space_group_IT_number 123
_space_group_name_Hall '-P 4 2'
loop_
_atom_site_label
_atom_site_type_symbol
_atom_site_fract_x
_atom_site_fract_y
_atom_site_fract_z
Y1 Y 0.0000 0.0000 0.0000
Cd1 Cd 0.0000 0.5000 0.5000
Te1 Te 0.5000 0.5000 0.0000
# Formation energy without anion corrections (eV/atom): -0.479

---

# YCdTe2 (PBE-GGA, optimized geometry)
data_YCdTe2
_cell_length_a 4.4449
_cell_length_b 4.1574
_cell_length_c 12.5308
_cell_angle_alpha 90.00
_cell_angle_beta 90.00
_cell_angle_gamma 90.00
_space_group_name_H-M_alt 'A m m 2'
_space_group_IT_number 38
_space_group_name_Hall 'A 2 -2'
loop_
_atom_site_label
_atom_site_type_symbol
_atom_site_fract_x
_atom_site_fract_y
_atom_site_fract_z
Y1 Y 0.0000 0.0000 0.0000
Cd1 Cd 0.5000 0.0000 0.1977
Te1 Te 0.0000 0.0000 0.6918
Te2 Te 0.5000 0.0000 0.4296
# Formation energy without anion corrections (eV/atom): -0.924

---

# YCd2Te (PBE-GGA, optimized geometry)
data_YCd2Te
_cell_length_a 7.5066
_cell_length_b 7.5066
_cell_length_c 7.5066
_cell_angle_alpha 90.00
_cell_angle_beta 90.00
_cell_angle_gamma 90.00
_space_group_name_H-M_alt 'F -4 3 m'
_space_group_IT_number 216
_space_group_name_Hall 'F -4 2 3'
loop_
_atom_site_label
_atom_site_type_symbol
_atom_site_fract_x
_atom_site_fract_y
_atom_site_fract_z
Y1 Y 0.0000 0.0000 0.0000
Cd1 Cd 0.0000 0.0000 0.5000
Cd2 Cd 0.2500 0.2500 0.2500
Te1 Te 0.2500 0.2500 0.7500
# Formation energy without anion corrections (eV/atom): -0.330

---

# YCdTe2 (PBE-GGA, optimized geometry)
data_YCdTe2
_cell_length_a 7.6701
_cell_length_b 7.6701
_cell_length_c 7.6701
_cell_angle_alpha 90.00
_cell_angle_beta 90.00
_cell_angle_gamma 90.00
_space_group_name_H-M_alt 'F -4 3 m'
_space_group_IT_number 216
_space_group_name_Hall 'F -4 2 3'
loop_
_atom_site_label
_atom_site_type_symbol
_atom_site_fract_x
_atom_site_fract_y
_atom_site_fract_z
Y1 Y 0.0000 0.0000 0.0000
Cd1 Cd 0.2500 0.2500 0.2500
Te1 Te 0.0000 0.0000 0.5000
Te2 Te 0.2500 0.2500 0.7500
# Formation energy without anion corrections (eV/atom): -0.329

---

# YCdTe2 (PBE-GGA, optimized geometry)
data_YCdTe2
_cell_length_a 7.0167
_cell_length_b 7.0167
_cell_length_c 13.4084
_cell_angle_alpha 90.00
_cell_angle_beta 90.00
_cell_angle_gamma 90.00
_space_group_name_H-M_alt 'I -4 2 d'
_space_group_IT_number 122
_space_group_name_Hall 'I -4 2bw'
loop_
_atom_site_label
_atom_site_type_symbol
_atom_site_fract_x
_atom_site_fract_y
_atom_site_fract_z
Y1 Y 0.0000 0.0000 0.0000
Cd1 Cd 0.0000 0.0000 0.5000
Te1 Te 0.2459 0.2500 0.1250
# Formation energy without anion corrections (eV/atom): -0.639

---

# YCdTe2 (PBE-GGA, optimized geometry)
data_YCdTe2
_cell_length_a 4.0917
_cell_length_b 4.3221
_cell_length_c 14.4479
_cell_angle_alpha 90.00
_cell_angle_beta 90.00
_cell_angle_gamma 90.00
_space_group_name_H-M_alt 'I m m 2'
_space_group_IT_number 44
_space_group_name_Hall 'I 2 -2'
loop_
_atom_site_label
_atom_site_type_symbol
_atom_site_fract_x
_atom_site_fract_y
_atom_site_fract_z
Y1 Y 0.0000 0.0000 0.0000
Cd1 Cd 0.0000 0.5000 0.8275
Te1 Te 0.0000 0.0000 0.5729
Te2 Te 0.0000 0.5000 0.3296
# Formation energy without anion corrections (eV/atom): -0.816

---

# YCd2Te (PBE-GGA, optimized geometry)
data_YCd2Te
_cell_length_a 8.6888
_cell_length_b 8.6888
_cell_length_c 6.0187
_cell_angle_alpha 90.00
_cell_angle_beta 90.00
_cell_angle_gamma 90.00
_space_group_name_H-M_alt 'I -4 2 d'
_space_group_IT_number 122
_space_group_name_Hall 'I -4 2bw'
loop_
_atom_site_label
_atom_site_type_symbol
_atom_site_fract_x
_atom_site_fract_y
_atom_site_fract_z
Y1 Y 0.0000 0.0000 0.0000
Cd1 Cd 0.2375 0.7500 0.6250
Te1 Te 0.0000 0.0000 0.5000
# Formation energy without anion corrections (eV/atom): -0.372

---

# YCd3Te (PBE-GGA, optimized geometry)
data_YCd3Te
_cell_length_a 5.8788
_cell_length_b 5.8788
_cell_length_c 5.8788
_cell_angle_alpha 90.00
_cell_angle_beta 90.00
_cell_angle_gamma 90.00
_space_group_name_H-M_alt 'P m -3 m'
_space_group_IT_number 221
_space_group_name_Hall '-P 4 2 3'
loop_
_atom_site_label
_atom_site_type_symbol
_atom_site_fract_x
_atom_site_fract_y
_atom_site_fract_z
Y1 Y 0.0000 0.0000 0.0000
Cd1 Cd 0.0000 0.0000 0.5000
Te1 Te 0.5000 0.5000 0.5000
# Energy above the most stable polymorph in this dataset (meV per atom): 107.6
# Formation energy without anion corrections (eV/atom): 0.613

---

# YCd3Te (PBE-GGA, optimized geometry)
data_YCd3Te
_cell_length_a 5.5780
_cell_length_b 5.5780
_cell_length_c 5.5780
_cell_angle_alpha 90.00
_cell_angle_beta 90.00
_cell_angle_gamma 90.00
_space_group_name_H-M_alt 'P m -3 m'
_space_group_IT_number 221
_space_group_name_Hall '-P 4 2 3'
loop_
_atom_site_label
_atom_site_type_symbol
_atom_site_fract_x
_atom_site_fract_y
_atom_site_fract_z
Y1 Y 0.0000 0.0000 0.0000
Cd1 Cd 0.0000 0.5000 0.5000
Te1 Te 0.5000 0.5000 0.5000
# Energy above the most stable polymorph in this dataset (meV per atom): 0.0
# Formation energy without anion corrections (eV/atom): 0.506

---

# YCd4Te (PBE-GGA, optimized geometry)
data_YCd4Te
_cell_length_a 8.4640
_cell_length_b 8.4640
_cell_length_c 8.4640
_cell_angle_alpha 90.00
_cell_angle_beta 90.00
_cell_angle_gamma 90.00
_space_group_name_H-M_alt 'F -4 3 m'
_space_group_IT_number 216
_space_group_name_Hall 'F -4 2 3'
loop_
_atom_site_label
_atom_site_type_symbol
_atom_site_fract_x
_atom_site_fract_y
_atom_site_fract_z
Y1 Y 0.0000 0.0000 0.0000
Cd1 Cd 0.1254 0.1254 0.6254
Te1 Te 0.2500 0.2500 0.2500
# Formation energy without anion corrections (eV/atom): -0.098

---

# YCdTe4 (PBE-GGA, optimized geometry)
data_YCdTe4
_cell_length_a 9.0250
_cell_length_b 9.0250
_cell_length_c 9.0250
_cell_angle_alpha 90.00
_cell_angle_beta 90.00
_cell_angle_gamma 90.00
_space_group_name_H-M_alt 'F -4 3 m'
_space_group_IT_number 216
_space_group_name_Hall 'F -4 2 3'
loop_
_atom_site_label
_atom_site_type_symbol
_atom_site_fract_x
_atom_site_fract_y
_atom_site_fract_z
Y1 Y 0.0000 0.0000 0.0000
Cd1 Cd 0.2500 0.2500 0.7500
Te1 Te 0.1253 0.1253 0.3747
# Formation energy without anion corrections (eV/atom): 0.058

---

# YCd2Te (PBE-GGA, optimized geometry)
data_YCd2Te
_cell_length_a 4.2746
_cell_length_b 4.2746
_cell_length_c 11.6915
_cell_angle_alpha 90.00
_cell_angle_beta 90.00
_cell_angle_gamma 90.00
_space_group_name_H-M_alt 'I 4/m m m'
_space_group_IT_number 139
_space_group_name_Hall '-I 4 2'
loop_
_atom_site_label
_atom_site_type_symbol
_atom_site_fract_x
_atom_site_fract_y
_atom_site_fract_z
Y1 Y 0.0000 0.0000 0.0000
Cd1 Cd 0.0000 0.5000 0.2500
Te1 Te 0.0000 0.0000 0.5000
# Formation energy without anion corrections (eV/atom): -0.523

---

# Y3CdTe (PBE-GGA, optimized geometry)
data_Y3CdTe
_cell_length_a 7.5798
_cell_length_b 4.0329
_cell_length_c 9.7421
_cell_angle_alpha 90.00
_cell_angle_beta 101.30
_cell_angle_gamma 90.00
_space_group_name_H-M_alt 'P 1 21/m 1'
_space_group_IT_number 11
_space_group_name_Hall '-P 2yb'
loop_
_atom_site_label
_atom_site_type_symbol
_atom_site_fract_x
_atom_site_fract_y
_atom_site_fract_z
Y1 Y 0.0279 0.2500 0.1937
Y2 Y 0.3272 0.7500 0.4189
Y3 Y 0.4343 0.7500 0.7958
Cd1 Cd 0.1314 0.2500 0.6070
Te1 Te 0.2694 0.7500 0.0721
# Energy above the most stable polymorph in this dataset (meV per atom): 0.0
# Formation energy without anion corrections (eV/atom): -0.597

---

# Y2CdTe (PBE-GGA, optimized geometry)
data_Y2CdTe
_cell_length_a 4.3146
_cell_length_b 4.4028
_cell_length_c 6.2109
_cell_angle_alpha 90.00
_cell_angle_beta 90.00
_cell_angle_gamma 90.00
_space_group_name_H-M_alt 'P m m m'
_space_group_IT_number 47
_space_group_name_Hall '-P 2 2'
loop_
_atom_site_label
_atom_site_type_symbol
_atom_site_fract_x
_atom_site_fract_y
_atom_site_fract_z
Y1 Y 0.0000 0.0000 0.0000
Y2 Y 0.5000 0.5000 0.5000
Cd1 Cd 0.0000 0.0000 0.5000
Te1 Te 0.5000 0.5000 0.0000
# Energy above the most stable polymorph in this dataset (meV per atom): 114.7
# Formation energy without anion corrections (eV/atom): -0.711

---

# Y2CdTe (PBE-GGA, optimized geometry)
data_Y2CdTe
_cell_length_a 6.8954
_cell_length_b 8.3553
_cell_length_c 3.7268
_cell_angle_alpha 90.00
_cell_angle_beta 90.12
_cell_angle_gamma 90.00
_space_group_name_H-M_alt 'C 1 2/m 1'
_space_group_IT_number 12
_space_group_name_Hall '-C 2y'
loop_
_atom_site_label
_atom_site_type_symbol
_atom_site_fract_x
_atom_site_fract_y
_atom_site_fract_z
Y1 Y 0.2500 0.2500 0.0000
Cd1 Cd 0.0000 0.0000 0.5000
Te1 Te 0.0000 0.5000 0.5000
# Energy above the most stable polymorph in this dataset (meV per atom): 175.1
# Formation energy without anion corrections (eV/atom): -0.651

---

# Y6CdTe5 (PBE-GGA, optimized geometry)
data_Y6CdTe5
_cell_length_a 7.5930
_cell_length_b 13.1095
_cell_length_c 7.5534
_cell_angle_alpha 90.00
_cell_angle_beta 109.47
_cell_angle_gamma 90.00
_space_group_name_H-M_alt 'C 1 2/m 1'
_space_group_IT_number 12
_space_group_name_Hall '-C 2y'
loop_
_atom_site_label
_atom_site_type_symbol
_atom_site_fract_x
_atom_site_fract_y
_atom_site_fract_z
Y1 Y 0.2391 0.0000 0.2537
Y2 Y 0.2410 0.1616 0.7409
Cd1 Cd 0.0000 0.0000 0.5000
Te1 Te 0.0000 0.1727 0.0000
Te2 Te 0.0000 0.3353 0.5000
Te3 Te 0.0000 0.5000 0.0000
# Formation energy without anion corrections (eV/atom): -1.159

---

# Y2CdTe2 (PBE-GGA, optimized geometry)
data_Y2CdTe2
_cell_length_a 8.5479
_cell_length_b 8.5479
_cell_length_c 3.8738
_cell_angle_alpha 90.00
_cell_angle_beta 90.00
_cell_angle_gamma 90.00
_space_group_name_H-M_alt 'P 4/m b m'
_space_group_IT_number 127
_space_group_name_Hall '-P 4 2ab'
loop_
_atom_site_label
_atom_site_type_symbol
_atom_site_fract_x
_atom_site_fract_y
_atom_site_fract_z
Y1 Y 0.1521 0.3479 0.0000
Cd1 Cd 0.0000 0.0000 0.5000
Te1 Te 0.1435 0.6435 0.5000
# Energy above the most stable polymorph in this dataset (meV per atom): 54.5
# Formation energy without anion corrections (eV/atom): -0.863

---

# YCdTe2 (PBE-GGA, optimized geometry)
data_YCdTe2
_cell_length_a 4.3407
_cell_length_b 4.3407
_cell_length_c 23.3730
_cell_angle_alpha 90.00
_cell_angle_beta 90.00
_cell_angle_gamma 120.00
_space_group_name_H-M_alt 'R 3 m'
_space_group_IT_number 160
_space_group_name_Hall 'R 3 -2"'
loop_
_atom_site_label
_atom_site_type_symbol
_atom_site_fract_x
_atom_site_fract_y
_atom_site_fract_z
Y1 Y 0.0000 0.0000 0.0000
Cd1 Cd 0.0000 0.0000 0.8345
Te1 Te 0.0000 0.0000 0.4133
Te2 Te 0.0000 0.0000 0.5907
# Formation energy without anion corrections (eV/atom): -0.823